Entry 1:
Here is LiAuNO after structural relaxation from the Open Quantum Materials Database. Energies are from PBE-GGA.

a b c (Å): 2.967 5.812 5.342
angles (deg): 90.00 90.00 90.00
Space group Pmc2_1 (No. 26)
Symmetry-distinct sites (fractional):
Li: 0.000 0.222 0.000 x2
Au: 0.500 0.270 0.509 x2
N: 0.000 0.446 0.316 x2
O: 0.500 0.089 0.833 x2


Entry 2:
Here is LiAuNO after structural relaxation from the Open Quantum Materials Database. Energies are from PBE-GGA.

a b c (Å): 7.684 6.150 4.224
angles (deg): 90.00 90.00 90.00
Space group Pbcm (No. 57)
Symmetry-distinct sites (fractional):
Li: 0.114 0.065 0.250 x4
Au: 0.345 0.012 0.750 x4
N: 0.102 0.106 0.750 x4
O: 0.381 0.031 0.250 x4


Entry 3:
Here is Li4PdAuN2 after structural relaxation from the Open Quantum Materials Database. Energies are from PBE-GGA.

a b c (Å): 3.832 3.832 7.180
angles (deg): 90.00 90.00 90.00
Space group P-4m2 (No. 115)
Symmetry-distinct sites (fractional):
Li: 0.000 0.000 0.000 x1
Li: 0.000 0.500 0.232 x2
Li: 0.500 0.500 0.500 x1
Pd: 0.500 0.500 0.000 x1
Au: 0.000 0.000 0.500 x1
N: 0.000 0.500 0.897 x2


Entry 4:
Here is NaLi2Au2 after structural relaxation from the Open Quantum Materials Database. Energies are from PBE-GGA.

a b c (Å): 7.772 7.772 2.876
angles (deg): 90.00 90.00 90.00
Space group P4/mbm (No. 127)
Symmetry-distinct sites (fractional):
Na: 0.000 0.000 0.000 x2
Li: 0.127 0.373 0.000 x4
Au: 0.166 0.666 0.500 x4


Entry 5:
Here is NaLi2Au2 after structural relaxation from the Open Quantum Materials Database. Energies are from PBE-GGA.

a b c (Å): 4.065 4.065 11.997
angles (deg): 90.00 90.00 90.00
Space group I4/mmm (No. 139)
Symmetry-distinct sites (fractional):
Na: 0.000 0.000 0.000 x2
Li: 0.000 0.500 0.250 x4
Au: 0.000 0.000 0.386 x4


Entry 6:
Here is LiNbAu after structural relaxation from the Open Quantum Materials Database. Energies are from PBE-GGA.

a b c (Å): 6.142 6.142 6.142
angles (deg): 90.00 90.00 90.00
Space group F-43m (No. 216)
Symmetry-distinct sites (fractional):
Li: 0.000 0.000 0.000 x4
Nb: 0.000 0.000 0.500 x4
Au: 0.250 0.250 0.250 x4


Entry 7:
Here is LiNbAu after structural relaxation from the Open Quantum Materials Database. Energies are from PBE-GGA.

a b c (Å): 6.147 6.147 6.147
angles (deg): 90.00 90.00 90.00
Space group F-43m (No. 216)
Symmetry-distinct sites (fractional):
Li: 0.000 0.000 0.000 x4
Nb: 0.250 0.250 0.750 x4
Au: 0.000 0.000 0.500 x4


Entry 8:
Here is LiNb2Au after structural relaxation from the Open Quantum Materials Database. Energies are from PBE-GGA.

a b c (Å): 6.480 6.480 6.480
angles (deg): 90.00 90.00 90.00
Space group F-43m (No. 216)
Symmetry-distinct sites (fractional):
Li: 0.000 0.000 0.000 x4
Nb: 0.000 0.000 0.500 x4
Nb: 0.250 0.250 0.750 x4
Au: 0.250 0.250 0.250 x4


Entry 9:
Here is LiNbAuO3 after structural relaxation from the Open Quantum Materials Database. Energies are from PBE-GGA.

a b c (Å): 10.557 2.963 9.939
angles (deg): 90.00 90.00 90.00
Space group Pnma (No. 62)
Symmetry-distinct sites (fractional):
Li: 0.202 0.250 0.157 x4
Nb: 0.075 0.250 0.859 x4
Au: 0.108 0.250 0.482 x4
O: 0.023 0.250 0.221 x4
O: 0.116 0.750 0.000 x4
O: 0.217 0.250 0.757 x4


Entry 10:
Here is LiNbAuSeS2 after structural relaxation from the Open Quantum Materials Database. Energies are from PBE-GGA.

a b c (Å): 3.473 13.159 9.982
angles (deg): 90.00 90.00 90.00
Space group Cmcm (No. 63)
Symmetry-distinct sites (fractional):
Li: 0.000 0.242 0.250 x4
Nb: 0.000 0.000 0.000 x4
Au: 0.000 0.427 0.750 x4
Se: 0.000 0.098 0.750 x4
S: 0.000 0.363 0.529 x8


Entry 11:
Here is LiNbAuSe3 after structural relaxation from the Open Quantum Materials Database. Energies are from PBE-GGA.

a b c (Å): 3.574 13.425 10.117
angles (deg): 90.00 90.00 90.00
Space group Cmcm (No. 63)
Symmetry-distinct sites (fractional):
Li: 0.000 0.223 0.250 x4
Nb: 0.000 0.000 0.000 x4
Au: 0.000 0.450 0.750 x4
Se: 0.000 0.102 0.750 x4
Se: 0.000 0.356 0.536 x8


Entry 12:
Here is LiNbTe2AuSe after structural relaxation from the Open Quantum Materials Database. Energies are from PBE-GGA.

a b c (Å): 3.678 14.470 10.228
angles (deg): 90.00 90.00 90.00
Space group Cmcm (No. 63)
Symmetry-distinct sites (fractional):
Li: 0.000 0.247 0.250 x4
Nb: 0.000 0.000 0.000 x4
Te: 0.000 0.351 0.536 x8
Au: 0.000 0.457 0.750 x4
Se: 0.000 0.091 0.750 x4


Number 1: DFT total energy -34.17 eV for the cell shown. Number 2: DFT total energy -68.02 eV for the cell shown. Number 3: DFT total energy -31.54 eV for the cell shown. Number 4: DFT total energy -27.90 eV for the cell shown. Number 5: DFT total energy -27.21 eV for the cell shown. Number 6: DFT total energy -57.65 eV for the cell shown. Number 7: DFT total energy -54.07 eV for the cell shown. Number 8: DFT total energy -97.01 eV for the cell shown. Number 9: DFT total energy -163.47 eV for the cell shown. Number 10: DFT total energy -122.48 eV for the cell shown. Number 11: DFT total energy -115.62 eV for the cell shown. Number 12: DFT total energy -108.40 eV for the cell shown.